1.
Compound: ReBIr
Source: OQMD
Functional: GGA-PBE
Structure: relaxed

Mass density in g/cm³: 16.887
Raw total energy in eV per atom: -9.0175
Energy above the lowest structure with this stoichiometry in kJ/mol of formula units: 0.0

Unit cell a=5.350 b=5.350 c=5.350 alpha=90.00 beta=90.00 gamma=90.00
Space group F-43m (No. 216)
Asymmetric unit:
Re (0.000, 0.000, 0.000) (multiplicity 4)
B (0.250, 0.250, 0.750) (multiplicity 4)
Ir (0.000, 0.000, 0.500) (multiplicity 4)

***

2.
Compound: TaBPt2
Source: OQMD
Functional: GGA-PBE
Structure: relaxed

Mass density in g/cm³: 16.780
Raw total energy in eV per atom: -7.5166

Unit cell a=6.130 b=6.130 c=6.130 alpha=90.00 beta=90.00 gamma=90.00
Space group F-43m (No. 216)
Asymmetric unit:
Ta (0.000, 0.000, 0.000) (multiplicity 4)
B (0.250, 0.250, 0.750) (multiplicity 4)
Pt (0.000, 0.000, 0.500) (multiplicity 4)
Pt (0.250, 0.250, 0.250) (multiplicity 4)

***

3.
Compound: CdCoBi2
Source: OQMD
Functional: GGA-PBE
Structure: relaxed

Mass density in g/cm³: 10.322
Raw total energy in eV per atom: -3.4185

Unit cell a=7.238 b=7.238 c=7.238 alpha=90.00 beta=90.00 gamma=90.00
Space group F-43m (No. 216)
Asymmetric unit:
Cd (0.000, 0.000, 0.000) (multiplicity 4)
Co (0.250, 0.250, 0.250) (multiplicity 4)
Bi (0.000, 0.000, 0.500) (multiplicity 4)
Bi (0.250, 0.250, 0.750) (multiplicity 4)

***

4.
Compound: TmPaGe
Source: OQMD
Functional: GGA-PBE
Structure: relaxed

Mass density in g/cm³: 10.566
Raw total energy in eV per atom: -5.5830
Energy above the lowest structure with this stoichiometry in kJ/mol of formula units: 0.0

Unit cell a=6.673 b=6.673 c=6.673 alpha=90.00 beta=90.00 gamma=90.00
Space group F-43m (No. 216)
Asymmetric unit:
Tm (0.000, 0.000, 0.000) (multiplicity 4)
Pa (0.250, 0.250, 0.250) (multiplicity 4)
Ge (0.250, 0.250, 0.750) (multiplicity 4)